No. 1
The following is a DFT calculation (PBE-GGA) of a relaxed Hf2Zr6Cd crystal.

Cell: 8.1309 8.1309 8.1309 Å, 143.42 136.41 58.17°
Closest atoms and distances in Å follow each position.
Positions (direct):
Hf1 0.1074 0.1074 0.0000  1 Hf 3.05, 10 Zr 3.14-3.30, 2 Cd 3.38
Hf2 0.8926 0.8926 0.0000  1 Hf 3.05, 10 Zr 3.14-3.30, 2 Cd 3.38
Zr1 0.0501 0.3008 0.7494  5 Zr 2.83-3.03, 1 Hf 3.14
Zr2 0.2375 0.5000 0.7375  4 Zr 2.83-3.17, 2 Cd 3.00
Zr3 0.4486 0.6992 0.7494  5 Zr 2.83-3.03, 1 Hf 3.14
Zr4 0.5514 0.3008 0.2506  5 Zr 2.83-3.03, 1 Hf 3.14
Zr5 0.7625 0.5000 0.2625  4 Zr 2.83-3.17, 2 Cd 3.00
Zr6 0.9499 0.6992 0.2506  5 Zr 2.83-3.03, 1 Hf 3.14
Cd1 0.5000 0.0000 0.5000  4 Zr 3.00

ΔH_f (0 K): 358 kJ/mol of formula units
raw total energy: -7.60 eV per atom
relative energy among the computed polymorphs: 322 kJ/mol of formula units
M_tot: 0.00 μB/f.u.

***

No. 2
The following is a DFT calculation (PBE-GGA) of a relaxed HfZrCd2 crystal.

Cell: 4.4165 4.4165 4.3902 Å, 90.00 90.00 90.00°
Closest atoms and distances in Å follow each position.
Positions (direct):
Hf1 0.0000 0.0000 0.0000  8 Cd 3.11, 4 Zr 3.12
Zr1 0.5000 0.5000 0.0000  8 Cd 3.11, 4 Hf 3.12
Cd1 0.0000 0.5000 0.5000  4 Zr 3.11, 4 Hf 3.11, 4 Cd 3.12
Cd2 0.5000 0.0000 0.5000  4 Zr 3.11, 4 Hf 3.11, 4 Cd 3.12

ΔH_f (0 K): -17 kJ/mol of formula units
raw total energy: -5.13 eV per atom
M_tot: 0.46 μB/f.u.

***

No. 3
The following is a DFT calculation (PBE-GGA) of a relaxed Hf2Zr2Cd crystal.

Cell: 7.7057 7.7057 3.0444 Å, 101.28 101.28 39.38°
Closest atoms and distances in Å follow each position.
Positions (direct):
Hf1 0.2126 0.2126 0.2149  4 Zr 3.04-3.06, 6 Hf 3.04-3.20, 2 Cd 3.37-3.39
Hf2 0.7874 0.7874 0.7851  4 Zr 3.04-3.06, 6 Hf 3.04-3.20, 2 Cd 3.37-3.39
Zr1 0.3993 0.3993 0.8997  3 Zr 2.86-3.04, 4 Hf 3.04-3.06
Zr2 0.6007 0.6007 0.1003  3 Zr 2.86-3.04, 4 Hf 3.04-3.06
Cd1 0.0000 0.0000 0.5000  2 Cd 3.04, 8 Zr 3.33, 4 Hf 3.37-3.39

ΔH_f (0 K): 8 kJ/mol of formula units
raw total energy: -7.57 eV per atom
relative energy among the computed polymorphs: 3 kJ/mol of formula units
M_tot: 0.00 μB/f.u.

***

No. 4
The following is a DFT calculation (PBE-GGA) of a relaxed HfZr2Cd2 crystal.

Cell: 8.6212 8.6212 3.0619 Å, 90.00 90.00 90.00°
Closest atoms and distances in Å follow each position.
Positions (direct):
Hf1 0.0000 0.0000 0.0000  2 Hf 3.06, 4 Zr 3.42
Hf2 0.5000 0.5000 0.0000  2 Hf 3.06, 4 Zr 3.42
Zr1 0.1228 0.3772 0.0000  6 Cd 2.91-3.02, 3 Zr 2.99-3.06
Zr2 0.3772 0.8772 0.0000  6 Cd 2.91-3.02, 3 Zr 2.99-3.06
Zr3 0.6228 0.1228 0.0000  6 Cd 2.91-3.02, 3 Zr 2.99-3.06
Zr4 0.8772 0.6228 0.0000  6 Cd 2.91-3.02, 3 Zr 2.99-3.06
Cd1 0.1745 0.6745 0.5000  6 Zr 2.91-3.02, 2 Cd 3.06
Cd2 0.3255 0.1745 0.5000  6 Zr 2.91-3.02, 2 Cd 3.06
Cd3 0.6745 0.8255 0.5000  6 Zr 2.91-3.02, 2 Cd 3.06
Cd4 0.8255 0.3255 0.5000  6 Zr 2.91-3.02, 2 Cd 3.06

ΔH_f (0 K): 123 kJ/mol of formula units
raw total energy: -5.52 eV per atom
relative energy among the computed polymorphs: 151 kJ/mol of formula units
M_tot: 0.00 μB/f.u.

***

No. 5
The following is a DFT calculation (PBE-GGA) of a relaxed Hf2Zr6Cd crystal.

Cell: 8.9647 8.9647 3.0593 Å, 99.67 99.67 59.03°
Closest atoms and distances in Å follow each position.
Positions (direct):
Hf1 0.0000 0.0000 0.0000  2 Hf 3.06, 10 Zr 3.10-3.24
Hf2 0.6930 0.6930 0.6993  2 Hf 3.06, 10 Zr 3.10-3.24
Zr1 0.0148 0.6782 0.3492  5 Zr 2.97-3.06, 4 Hf 3.17-3.18, 2 Cd 3.30-3.31
Zr2 0.3403 0.6975 0.5237  6 Zr 2.97-3.15, 3 Hf 3.10-3.24
Zr3 0.3527 0.9955 0.1801  6 Zr 2.97-3.15, 3 Hf 3.10-3.24
Zr4 0.6782 0.0148 0.3492  5 Zr 2.97-3.06, 4 Hf 3.17-3.18, 2 Cd 3.30-3.31
Zr5 0.6975 0.3403 0.5237  6 Zr 2.97-3.15, 3 Hf 3.10-3.24
Zr6 0.9955 0.3527 0.1801  6 Zr 2.97-3.15, 3 Hf 3.10-3.24
Cd1 0.3465 0.3465 0.8516  2 Cd 3.06, 4 Zr 3.30-3.31

ΔH_f (0 K): 37 kJ/mol of formula units
raw total energy: -7.97 eV per atom
relative energy among the computed polymorphs: 0 kJ/mol of formula units
M_tot: 0.00 μB/f.u.

***

No. 6
The following is a DFT calculation (PBE-GGA) of a relaxed Hf2Zr3Cd3 crystal.

Cell: 9.7240 9.7240 9.7240 Å, 154.54 153.61 37.00°
Closest atoms and distances in Å follow each position.
Positions (direct):
Hf1 0.2452 0.2452 0.0000  4 Cd 3.09-3.27, 4 Hf 3.09, 4 Zr 3.14-3.22
Hf2 0.7548 0.7548 0.0000  4 Cd 3.09-3.27, 4 Hf 3.09, 4 Zr 3.14-3.22
Zr1 0.0000 0.0000 0.0000  8 Cd 3.09-3.14, 4 Zr 3.20
Zr2 0.3752 0.8752 0.5000  6 Cd 3.09-3.14, 4 Hf 3.14-3.22, 2 Zr 3.20
Zr3 0.6248 0.1248 0.5000  6 Cd 3.09-3.14, 4 Hf 3.14-3.22, 2 Zr 3.20
Cd1 0.1247 0.6247 0.5000  6 Zr 3.09-3.14, 4 Hf 3.09-3.27, 2 Cd 3.20
Cd2 0.5000 0.5000 0.0000  8 Zr 3.09-3.14, 4 Cd 3.20
Cd3 0.8753 0.3753 0.5000  6 Zr 3.09-3.14, 4 Hf 3.09-3.27, 2 Cd 3.20

ΔH_f (0 K): -34 kJ/mol of formula units
raw total energy: -6.08 eV per atom
M_tot: 0.00 μB/f.u.

***

Q: Which value of M_tot does entry 3 give?
A: 0.00 μB/f.u.

***

Q: The lowest raw total energy belongs to which entry?
A: number 5

***

Q: Which formula does entry 2 have?
A: HfZrCd2